Density functional theory data (PBE-GGA) for an optimized crystal structure of Ba2AlBr.

Computed properties:
Crystal system = orthorhombic
V = 41.6 Å³ per atom
Offset from the most stable computed form = 14.1 kJ per mole of atoms

```
data_Ba2AlBr
_chemical_formula_sum 'Ba4 Al2 Br2'
_space_group_name_H-M_alt 'I m m 2'
_space_group_IT_number 44
_cell_length_a 4.234
_cell_length_b 4.347
_cell_length_c 18.089
_cell_angle_alpha 90.00
_cell_angle_beta 90.00
_cell_angle_gamma 90.00
loop_
_space_group_symop_operation_xyz
'x,y,z'
'-x,-y,z'
'-x,y,z'
'x,-y,z'
'x+1/2,y+1/2,z+1/2'
'-x+1/2,-y+1/2,z+1/2'
'-x+1/2,y+1/2,z+1/2'
'x+1/2,-y+1/2,z+1/2'
loop_
_atom_site_label
_atom_site_fract_x
_atom_site_fract_y
_atom_site_fract_z
Ba1 0.000 0.000 0.000
Ba2 0.000 0.500 0.260
Al1 0.000 0.000 0.408
Br1 0.000 0.500 0.664
```


Density functional theory data (PBE-GGA) for an optimized crystal structure of TbNdTh4.

Computed properties:
Formation energy from the elements = 0.27 eV/atom
Crystal system = cubic
V = 34.7 Å³ per atom
Offset from the most stable computed form = 20.8 kJ per mole of atoms

```
data_TbNdTh4
_chemical_formula_sum 'Tb4 Nd4 Th16'
_space_group_name_H-M_alt 'F -4 3 m'
_space_group_IT_number 216
_space_group_name_Hall 'F -4 2 3'
_cell_length_a 9.410
_cell_length_b 9.410
_cell_length_c 9.410
_cell_angle_alpha 90.00
_cell_angle_beta 90.00
_cell_angle_gamma 90.00
loop_
_atom_site_label
_atom_site_fract_x
_atom_site_fract_y
_atom_site_fract_z
Tb1 0.000 0.000 0.000
Nd1 0.250 0.250 0.750
Th1 0.125 0.125 0.375
```


Density functional theory data (PBE-GGA) for an optimized crystal structure of BaSc2In2.

Computed properties:
Formation energy from the elements = -0.06 eV/atom
Crystal system = tetragonal
V = 32.8 Å³ per atom
Offset from the most stable computed form = 16.1 kJ per mole of atoms

```
data_BaSc2In2
_chemical_formula_sum 'Ba2 Sc4 In4'
_space_group_name_H-M_alt 'I 4/m m m'
_space_group_IT_number 139
_space_group_name_Hall '-I 4 2'
_cell_length_a 5.231
_cell_length_b 5.231
_cell_length_c 11.979
_cell_angle_alpha 90.00
_cell_angle_beta 90.00
_cell_angle_gamma 90.00
loop_
_atom_site_label
_atom_site_fract_x
_atom_site_fract_y
_atom_site_fract_z
Ba1 0.000 0.000 0.000
Sc1 0.000 0.000 0.358
In1 0.000 0.500 0.250
```


Density functional theory data (PBE-GGA) for an optimized crystal structure of NdEuZnRh.

Computed properties:
Formation energy from the elements = -0.39 eV/atom
Crystal system = cubic
V = 23.4 Å³ per atom

```
data_NdEuZnRh
_chemical_formula_sum 'Nd4 Eu4 Zn4 Rh4'
_space_group_name_H-M_alt 'F -4 3 m'
_space_group_IT_number 216
_space_group_name_Hall 'F -4 2 3'
_cell_length_a 7.209
_cell_length_b 7.209
_cell_length_c 7.209
_cell_angle_alpha 90.00
_cell_angle_beta 90.00
_cell_angle_gamma 90.00
loop_
_atom_site_label
_atom_site_fract_x
_atom_site_fract_y
_atom_site_fract_z
Nd1 0.000 0.000 0.000
Eu1 0.000 0.000 0.500
Zn1 0.250 0.250 0.750
Rh1 0.250 0.250 0.250
```


Density functional theory data (PBE-GGA) for an optimized crystal structure of KNp3O9.

Computed properties:
Electronic total energy = -120.1 eV per cell
Crystal system = hexagonal
V = 17.7 Å³ per atom

```
data_KNp3O9
_chemical_formula_sum 'K1 Np3 O9'
_space_group_name_H-M_alt 'P 6/m m m'
_space_group_IT_number 191
_space_group_name_Hall '-P 6 2'
_cell_length_a 8.0036
_cell_length_b 8.0036
_cell_length_c 4.1526
_cell_angle_alpha 90.00
_cell_angle_beta 90.00
_cell_angle_gamma 120.00
loop_
_atom_site_label
_atom_site_fract_x
_atom_site_fract_y
_atom_site_fract_z
K1 0.0000 0.0000 0.0000
Np1 0.0000 0.5000 0.5000
O1 0.0000 0.5000 0.0000
O2 0.2060 0.4121 0.5000
```


Density functional theory data (PBE-GGA) for an optimized crystal structure of RbCrSn3.

Computed properties:
Formation energy from the elements = 0.10 eV/atom
Crystal system = cubic
V = 27.5 Å³ per atom
Offset from the most stable computed form = 0.0 kJ per mole of atoms

```
data_RbCrSn3
_chemical_formula_sum 'Rb1 Cr1 Sn3'
_space_group_name_H-M_alt 'P m -3 m'
_space_group_IT_number 221
_space_group_name_Hall '-P 4 2 3'
_cell_length_a 5.163
_cell_length_b 5.163
_cell_length_c 5.163
_cell_angle_alpha 90.00
_cell_angle_beta 90.00
_cell_angle_gamma 90.00
loop_
_atom_site_label
_atom_site_fract_x
_atom_site_fract_y
_atom_site_fract_z
Rb1 0.000 0.000 0.000
Cr1 0.500 0.500 0.500
Sn1 0.000 0.500 0.500
```


Density functional theory data (PBE-GGA) for an optimized crystal structure of SrAcTlSb.

Computed properties:
Electronic total energy = -58.3 eV per cell
Crystal system = cubic
V = 34.3 Å³ per atom

```
data_SrAcTlSb
_chemical_formula_sum 'Sr4 Ac4 Tl4 Sb4'
_space_group_name_H-M_alt 'F -4 3 m'
_space_group_IT_number 216
_space_group_name_Hall 'F -4 2 3'
_cell_length_a 8.186
_cell_length_b 8.186
_cell_length_c 8.186
_cell_angle_alpha 90.00
_cell_angle_beta 90.00
_cell_angle_gamma 90.00
loop_
_atom_site_label
_atom_site_fract_x
_atom_site_fract_y
_atom_site_fract_z
Sr1 0.000 0.000 0.000
Ac1 0.000 0.000 0.500
Tl1 0.250 0.250 0.750
Sb1 0.250 0.250 0.250
```


Density functional theory data (PBE-GGA) for an optimized crystal structure of SiTe2Rh.

Computed properties:
Electronic total energy = -37.3 eV per cell
Crystal system = orthorhombic
V = 22.5 Å³ per atom

```
data_SiTe2Rh
_chemical_formula_sum 'Si2 Te4 Rh2'
_space_group_name_H-M_alt 'C m m m'
_space_group_IT_number 65
_space_group_name_Hall '-C 2 2'
_cell_length_a 5.670
_cell_length_b 8.006
_cell_length_c 3.961
_cell_angle_alpha 90.00
_cell_angle_beta 90.00
_cell_angle_gamma 90.00
loop_
_atom_site_label
_atom_site_fract_x
_atom_site_fract_y
_atom_site_fract_z
Si1 0.000 0.000 0.000
Te1 0.000 0.279 0.500
Rh1 0.000 0.500 0.000
```


Density functional theory data (PBE-GGA) for an optimized crystal structure of La2Zr2Ge.

Computed properties:
Formation energy from the elements = 0.11 eV/atom
Crystal system = tetragonal
V = 29.9 Å³ per atom
Offset from the most stable computed form = 27.0 kJ per mole of atoms

```
data_La2Zr2Ge
_chemical_formula_sum 'La4 Zr4 Ge2'
_space_group_name_H-M_alt 'I 4/m m m'
_space_group_IT_number 139
_space_group_name_Hall '-I 4 2'
_cell_length_a 3.915
_cell_length_b 3.915
_cell_length_c 19.537
_cell_angle_alpha 90.00
_cell_angle_beta 90.00
_cell_angle_gamma 90.00
loop_
_atom_site_label
_atom_site_fract_x
_atom_site_fract_y
_atom_site_fract_z
La1 0.000 0.000 0.082
Zr1 0.000 0.500 0.250
Ge1 0.000 0.000 0.500
```


Density functional theory data (PBE-GGA) for an optimized crystal structure of Tm3CoSn.

Computed properties:
Formation energy from the elements = -0.32 eV/atom
Crystal system = monoclinic
V = 25.0 Å³ per atom
Offset from the most stable computed form = 0.0 kJ per mole of atoms

```
data_Tm3CoSn
_chemical_formula_sum 'Tm6 Co2 Sn2'
_space_group_name_H-M_alt 'P 1 21/m 1'
_space_group_IT_number 11
_cell_length_a 4.913
_cell_length_b 5.144
_cell_length_c 9.889
_cell_angle_alpha 90.00
_cell_angle_beta 90.05
_cell_angle_gamma 90.00
loop_
_space_group_symop_operation_xyz
'x,y,z'
'-x,-y,-z'
'-x,y+1/2,-z'
'x,-y+1/2,z'
loop_
_atom_site_label
_atom_site_fract_x
_atom_site_fract_y
_atom_site_fract_z
Tm1 0.000 0.250 0.113
Tm2 0.001 0.750 0.334
Tm3 0.499 0.750 0.633
Co1 0.001 0.250 0.392
Sn1 0.500 0.250 0.871
```


Density functional theory data (PBE-GGA) for an optimized crystal structure of Mg2AlRu.

Computed properties:
Formation energy from the elements = 0.01 eV/atom
Crystal system = monoclinic
V = 16.6 Å³ per atom

```
data_Mg2AlRu
_chemical_formula_sum 'Mg4 Al2 Ru2'
_space_group_name_H-M_alt 'C 1 2/m 1'
_space_group_IT_number 12
_cell_length_a 5.415
_cell_length_b 9.061
_cell_length_c 2.849
_cell_angle_alpha 90.00
_cell_angle_beta 108.26
_cell_angle_gamma 90.00
loop_
_space_group_symop_operation_xyz
'x,y,z'
'-x,-y,-z'
'-x,y,-z'
'x,-y,z'
'x+1/2,y+1/2,z'
'-x+1/2,-y+1/2,-z'
'-x+1/2,y+1/2,-z'
'x+1/2,-y+1/2,z'
loop_
_atom_site_label
_atom_site_fract_x
_atom_site_fract_y
_atom_site_fract_z
Mg1 0.250 0.250 0.000
Al1 0.000 0.000 0.500
Ru1 0.000 0.500 0.500
```


Density functional theory data (PBE-GGA) for an optimized crystal structure of Fe2PCl.

Computed properties:
Crystal system = orthorhombic
V = 15.4 Å³ per atom
Offset from the most stable computed form = 62.6 kJ per mole of atoms

```
data_Fe2PCl
_chemical_formula_sum 'Fe2 P1 Cl1'
_space_group_name_H-M_alt 'P m m m'
_space_group_IT_number 47
_cell_length_a 2.729
_cell_length_b 3.695
_cell_length_c 6.123
_cell_angle_alpha 90.00
_cell_angle_beta 90.00
_cell_angle_gamma 90.00
loop_
_space_group_symop_operation_xyz
'x,y,z'
'-x,-y,-z'
'-x,-y,z'
'x,y,-z'
'x,-y,-z'
'-x,y,z'
'-x,y,-z'
'x,-y,z'
loop_
_atom_site_label
_atom_site_fract_x
_atom_site_fract_y
_atom_site_fract_z
Fe1 0.000 0.000 0.000
Fe2 0.500 0.000 0.500
P1 0.000 0.500 0.500
Cl1 0.500 0.500 0.000
```


Density functional theory data (PBE-GGA) for an optimized crystal structure of KNi2Pt.

Computed properties:
Formation energy from the elements = 0.32 eV/atom
Crystal system = tetragonal
V = 16.9 Å³ per atom
Offset from the most stable computed form = 0.2 kJ per mole of atoms

```
data_KNi2Pt
_chemical_formula_sum 'K1 Ni2 Pt1'
_space_group_name_H-M_alt 'P 4 m m'
_space_group_IT_number 99
_cell_length_a 2.878
_cell_length_b 2.878
_cell_length_c 8.187
_cell_angle_alpha 90.00
_cell_angle_beta 90.00
_cell_angle_gamma 90.00
loop_
_space_group_symop_operation_xyz
'x,y,z'
'-y,x,z'
'-x,-y,z'
'y,-x,z'
'-x,y,z'
'y,x,z'
'x,-y,z'
'-y,-x,z'
loop_
_atom_site_label
_atom_site_fract_x
_atom_site_fract_y
_atom_site_fract_z
K1 0.000 0.000 0.000
Ni1 0.000 0.000 0.479
Ni2 0.500 0.500 0.324
Pt1 0.500 0.500 0.681
```


Density functional theory data (PBE-GGA) for an optimized crystal structure of TiMnN2.

Computed properties:
Electronic total energy = -139.7 eV per cell
Crystal system = cubic
V = 8.5 Å³ per atom

```
data_TiMnN2
_chemical_formula_sum 'Ti4 Mn4 N8'
_space_group_name_H-M_alt 'F m -3 m'
_space_group_IT_number 225
_space_group_name_Hall '-F 4 2 3'
_cell_length_a 5.136
_cell_length_b 5.136
_cell_length_c 5.136
_cell_angle_alpha 90.00
_cell_angle_beta 90.00
_cell_angle_gamma 90.00
loop_
_atom_site_label
_atom_site_fract_x
_atom_site_fract_y
_atom_site_fract_z
Ti1 0.000 0.000 0.000
Mn1 0.000 0.000 0.500
N1 0.250 0.250 0.250
```


Density functional theory data (PBE-GGA) for an optimized crystal structure of NdEr2TmBi4.

Computed properties:
Formation energy from the elements = -0.83 eV/atom
Crystal system = monoclinic
V = 31.9 Å³ per atom

```
data_NdEr2TmBi4
_chemical_formula_sum 'Nd1 Er2 Tm1 Bi4'
_space_group_name_H-M_alt 'P 1 2/m 1'
_space_group_IT_number 10
_cell_length_a 7.767
_cell_length_b 4.490
_cell_length_c 7.769
_cell_angle_alpha 90.00
_cell_angle_beta 109.49
_cell_angle_gamma 90.00
loop_
_space_group_symop_operation_xyz
'x,y,z'
'-x,-y,-z'
'-x,y,-z'
'x,-y,z'
loop_
_atom_site_label
_atom_site_fract_x
_atom_site_fract_y
_atom_site_fract_z
Nd1 0.000 0.000 0.000
Er1 0.000 0.500 0.500
Er2 0.500 0.000 0.500
Tm1 0.500 0.500 0.000
Bi1 0.254 0.000 0.747
Bi2 0.258 0.500 0.257
```


Density functional theory data (PBE-GGA) for an optimized crystal structure of NaAc2Ag.

Computed properties:
Formation energy from the elements = 0.13 eV/atom
Crystal system = trigonal
V = 40.4 Å³ per atom
Offset from the most stable computed form = 14.8 kJ per mole of atoms

```
data_NaAc2Ag
_chemical_formula_sum 'Na3 Ac6 Ag3'
_space_group_name_H-M_alt 'R -3 m'
_space_group_IT_number 166
_space_group_name_Hall '-R 3 2"'
_cell_length_a 3.8890
_cell_length_b 3.8890
_cell_length_c 36.9897
_cell_angle_alpha 90.00
_cell_angle_beta 90.00
_cell_angle_gamma 120.00
loop_
_atom_site_label
_atom_site_fract_x
_atom_site_fract_y
_atom_site_fract_z
Na1 0.0000 0.0000 0.0000
Ac1 0.0000 0.0000 0.1019
Ag1 0.0000 0.0000 0.5000
```


Density functional theory data (PBE-GGA) for an optimized crystal structure of LiSi2AuI.

Computed properties:
Electronic total energy = -13.6 eV per cell
Crystal system = tetragonal
V = 21.7 Å³ per atom

```
data_LiSi2AuI
_chemical_formula_sum 'Li1 Si2 Au1 I1'
_space_group_name_H-M_alt 'P 4/m m m'
_space_group_IT_number 123
_space_group_name_Hall '-P 4 2'
_cell_length_a 4.558
_cell_length_b 4.558
_cell_length_c 5.215
_cell_angle_alpha 90.00
_cell_angle_beta 90.00
_cell_angle_gamma 90.00
loop_
_atom_site_label
_atom_site_fract_x
_atom_site_fract_y
_atom_site_fract_z
Li1 0.000 0.000 0.000
Si1 0.000 0.500 0.000
Au1 0.500 0.500 0.500
I1 0.000 0.000 0.500
```


Density functional theory data (PBE-GGA) for an optimized crystal structure of Nd2In5Pd4.

Computed properties:
Formation energy from the elements = -0.48 eV/atom
Crystal system = orthorhombic
V = 24.2 Å³ per atom

```
data_Nd2In5Pd4
_chemical_formula_sum 'Nd8 In20 Pd16'
_space_group_name_H-M_alt 'F m m m'
_space_group_IT_number 69
_space_group_name_Hall '-F 2 2'
_cell_length_a 5.927
_cell_length_b 12.161
_cell_length_c 14.751
_cell_angle_alpha 90.00
_cell_angle_beta 90.00
_cell_angle_gamma 90.00
loop_
_atom_site_label
_atom_site_fract_x
_atom_site_fract_y
_atom_site_fract_z
Nd1 0.000 0.000 0.164
In1 0.000 0.000 0.500
In2 0.250 0.250 0.000
In3 0.250 0.250 0.250
Pd1 0.000 0.116 0.353
```


Density functional theory data (PBE-GGA) for an optimized crystal structure of ErTm4Th3.

Computed properties:
Formation energy from the elements = 0.03 eV/atom
Crystal system = orthorhombic
V = 31.2 Å³ per atom
Offset from the most stable computed form = 0.0 kJ per mole of atoms

```
data_ErTm4Th3
_chemical_formula_sum 'Er2 Tm8 Th6'
_space_group_name_H-M_alt 'P m m n'
_space_group_IT_number 59
_cell_length_a 4.992
_cell_length_b 10.007
_cell_length_c 9.979
_cell_angle_alpha 90.00
_cell_angle_beta 90.00
_cell_angle_gamma 90.00
loop_
_space_group_symop_operation_xyz
'x,y,z'
'-x,-y,-z'
'-x+1/2,-y+1/2,z'
'x+1/2,y+1/2,-z'
'x+1/2,-y,-z'
'-x+1/2,y,z'
'-x,y+1/2,-z'
'x,-y+1/2,z'
loop_
_atom_site_label
_atom_site_fract_x
_atom_site_fract_y
_atom_site_fract_z
Er1 0.250 0.250 0.125
Tm1 0.250 0.250 0.627
Tm2 0.250 0.501 0.375
Tm3 0.250 0.750 0.624
Th1 0.250 0.002 0.875
Th2 0.250 0.750 0.126
```


Density functional theory data (PBE-GGA) for an optimized crystal structure of ZnAs3O9.

Computed properties:
Electronic total energy = -288.1 eV per cell
Crystal system = orthorhombic
V = 13.6 Å³ per atom

```
data_ZnAs3O9
_chemical_formula_sum 'Zn4 As12 O36'
_space_group_name_H-M_alt 'C 2 2 21'
_space_group_IT_number 20
_cell_length_a 9.189
_cell_length_b 10.291
_cell_length_c 7.504
_cell_angle_alpha 90.00
_cell_angle_beta 90.00
_cell_angle_gamma 90.00
loop_
_space_group_symop_operation_xyz
'x,y,z'
'-x,-y,z+1/2'
'x,-y,-z'
'-x,y,-z+1/2'
'x+1/2,y+1/2,z'
'-x+1/2,-y+1/2,z+1/2'
'x+1/2,-y+1/2,-z'
'-x+1/2,y+1/2,-z+1/2'
loop_
_atom_site_label
_atom_site_fract_x
_atom_site_fract_y
_atom_site_fract_z
Zn1 0.178 0.000 0.000
As1 0.024 0.296 0.466
As2 0.237 0.500 0.000
O1 0.000 0.365 0.250
O2 0.006 0.134 0.031
O3 0.116 0.377 0.916
O4 0.186 0.049 0.695
O5 0.186 0.346 0.540
```